(1)
# GGA-PBE RbHfBi2, relaxed
data_RbHfBi2
_symmetry_space_group_name_H-M 'P 1'
_symmetry_Int_Tables_number 1
_cell_length_a 11.147
_cell_length_b 11.147
_cell_length_c 11.147
_cell_angle_alpha 20.97
_cell_angle_beta 20.97
_cell_angle_gamma 20.97
loop_
_symmetry_equiv_pos_as_xyz
'x,y,z'
loop_
_atom_site_label
_atom_site_type_symbol
_atom_site_fract_x
_atom_site_fract_y
_atom_site_fract_z
Rb1 Rb 0.000 0.000 0.000
Hf1 Hf 0.500 0.500 0.500
Bi1 Bi 0.109 0.109 0.109
Bi2 Bi 0.891 0.891 0.891
# **ΔE_f**: 0.04 eV/f.u.
# **E**: -4.66 eV/atom
# **Space group**: R-3m, No. 166
# **Calculated volume**: 38.84 Å³ per atom
# **Excess energy over the best structure of this formula in the dataset**: 0.189 eV/atom

(2)
# GGA-PBE RbHfBi2, relaxed
data_RbHfBi2
_symmetry_space_group_name_H-M 'P 1'
_symmetry_Int_Tables_number 1
_cell_length_a 5.556
_cell_length_b 5.556
_cell_length_c 5.556
_cell_angle_alpha 60.00
_cell_angle_beta 60.00
_cell_angle_gamma 60.00
loop_
_symmetry_equiv_pos_as_xyz
'x,y,z'
loop_
_atom_site_label
_atom_site_type_symbol
_atom_site_fract_x
_atom_site_fract_y
_atom_site_fract_z
Rb1 Rb 0.000 0.000 0.000
Hf1 Hf 0.500 0.500 0.500
Bi1 Bi 0.250 0.250 0.250
Bi2 Bi 0.750 0.750 0.750
# **ΔE_f**: 1.02 eV/f.u.
# **E**: -4.42 eV/atom
# **Space group**: Fm-3m, No. 225
# **Calculated volume**: 30.32 Å³ per atom
# **Excess energy over the best structure of this formula in the dataset**: 0.434 eV/atom

(3)
# GGA-PBE Rb3HfBi, relaxed
data_Rb3HfBi
_symmetry_space_group_name_H-M 'P 1'
_symmetry_Int_Tables_number 1
_cell_length_a 7.108
_cell_length_b 7.108
_cell_length_c 7.108
_cell_angle_alpha 90.00
_cell_angle_beta 90.00
_cell_angle_gamma 90.00
loop_
_symmetry_equiv_pos_as_xyz
'x,y,z'
loop_
_atom_site_label
_atom_site_type_symbol
_atom_site_fract_x
_atom_site_fract_y
_atom_site_fract_z
Rb1 Rb 0.000 0.000 0.500
Rb2 Rb 0.000 0.500 0.000
Rb3 Rb 0.500 0.000 0.000
Hf1 Hf 0.500 0.500 0.500
Bi1 Bi 0.000 0.000 0.000
# **ΔE_f**: 4.91 eV/f.u.
# **E**: -2.37 eV/atom
# **Space group**: Pm-3m, No. 221
# **Calculated volume**: 71.82 Å³ per atom
# **Excess energy over the best structure of this formula in the dataset**: 0.000 eV/atom

(4)
# GGA-PBE RbHfBi2, relaxed
data_RbHfBi2
_symmetry_space_group_name_H-M 'P 1'
_symmetry_Int_Tables_number 1
_cell_length_a 9.815
_cell_length_b 9.815
_cell_length_c 9.815
_cell_angle_alpha 24.08
_cell_angle_beta 24.08
_cell_angle_gamma 24.08
loop_
_symmetry_equiv_pos_as_xyz
'x,y,z'
loop_
_atom_site_label
_atom_site_type_symbol
_atom_site_fract_x
_atom_site_fract_y
_atom_site_fract_z
Rb1 Rb 0.000 0.000 0.000
Hf1 Hf 0.832 0.832 0.832
Bi1 Bi 0.232 0.232 0.232
Bi2 Bi 0.433 0.433 0.433
# **ΔE_f**: -0.72 eV/f.u.
# **E**: -4.85 eV/atom
# **Space group**: R3m, No. 160
# **Calculated volume**: 34.58 Å³ per atom
# **Excess energy over the best structure of this formula in the dataset**: 0.000 eV/atom

(5)
# GGA-PBE RbHfBiRh2, relaxed
data_RbHfBiRh2
_symmetry_space_group_name_H-M 'P 1'
_symmetry_Int_Tables_number 1
_cell_length_a 4.832
_cell_length_b 4.832
_cell_length_c 5.259
_cell_angle_alpha 90.00
_cell_angle_beta 90.00
_cell_angle_gamma 90.00
loop_
_symmetry_equiv_pos_as_xyz
'x,y,z'
loop_
_atom_site_label
_atom_site_type_symbol
_atom_site_fract_x
_atom_site_fract_y
_atom_site_fract_z
Rb1 Rb 0.000 0.000 0.000
Hf1 Hf 0.000 0.000 0.500
Bi1 Bi 0.500 0.500 0.500
Rh1 Rh 0.000 0.500 0.000
Rh2 Rh 0.500 0.000 0.000
# **ΔE_f**: 9.58 eV/f.u.
# **E**: -3.99 eV/atom
# **Space group**: P4/mmm, No. 123
# **Calculated volume**: 24.56 Å³ per atom

(6)
# GGA-PBE Rb2Hf2BiSb2, relaxed
data_Rb2Hf2BiSb2
_symmetry_space_group_name_H-M 'P 1'
_symmetry_Int_Tables_number 1
_cell_length_a 9.971
_cell_length_b 9.971
_cell_length_c 9.971
_cell_angle_alpha 148.47
_cell_angle_beta 148.47
_cell_angle_gamma 45.19
loop_
_symmetry_equiv_pos_as_xyz
'x,y,z'
loop_
_atom_site_label
_atom_site_type_symbol
_atom_site_fract_x
_atom_site_fract_y
_atom_site_fract_z
Rb1 Rb 0.190 0.190 0.000
Rb2 Rb 0.810 0.810 0.000
Hf1 Hf 0.000 0.500 0.500
Hf2 Hf 0.500 0.000 0.500
Bi1 Bi 0.000 0.000 0.000
Sb1 Sb 0.402 0.402 0.000
Sb2 Sb 0.598 0.598 0.000
# **Formation energy without anion corrections**: -0.028 eV per atom
# **E**: -4.88 eV/atom
# **Space group**: I4/mmm, No. 139
# **Calculated volume**: 38.60 Å³ per atom

(7)
# GGA-PBE RbHf2BiSb, relaxed
data_RbHf2BiSb
_symmetry_space_group_name_H-M 'P 1'
_symmetry_Int_Tables_number 1
_cell_length_a 5.492
_cell_length_b 5.492
_cell_length_c 6.244
_cell_angle_alpha 90.00
_cell_angle_beta 90.00
_cell_angle_gamma 90.00
loop_
_symmetry_equiv_pos_as_xyz
'x,y,z'
loop_
_atom_site_label
_atom_site_type_symbol
_atom_site_fract_x
_atom_site_fract_y
_atom_site_fract_z
Rb1 Rb 0.000 0.000 0.000
Hf1 Hf 0.000 0.500 0.500
Hf2 Hf 0.500 0.000 0.500
Bi1 Bi 0.000 0.000 0.500
Sb1 Sb 0.500 0.500 0.000
# **Formation energy without anion corrections**: 1.072 eV per atom
# **E**: -4.70 eV/atom
# **Space group**: P4/mmm, No. 123
# **Calculated volume**: 37.67 Å³ per atom

(8)
# GGA-PBE RbHfSnBi2, relaxed
data_RbHfSnBi2
_symmetry_space_group_name_H-M 'P 1'
_symmetry_Int_Tables_number 1
_cell_length_a 5.862
_cell_length_b 5.862
_cell_length_c 6.048
_cell_angle_alpha 90.00
_cell_angle_beta 90.00
_cell_angle_gamma 90.00
loop_
_symmetry_equiv_pos_as_xyz
'x,y,z'
loop_
_atom_site_label
_atom_site_type_symbol
_atom_site_fract_x
_atom_site_fract_y
_atom_site_fract_z
Rb1 Rb 0.000 0.000 0.000
Hf1 Hf 0.500 0.500 0.000
Sn1 Sn 0.000 0.000 0.500
Bi1 Bi 0.000 0.500 0.500
Bi2 Bi 0.500 0.000 0.500
# **ΔE_f**: 5.61 eV/f.u.
# **E**: -3.42 eV/atom
# **Space group**: P4/mmm, No. 123
# **Calculated volume**: 41.56 Å³ per atom

(9)
# GGA-PBE RbHf2TiBi, relaxed
data_RbHf2TiBi
_symmetry_space_group_name_H-M 'P 1'
_symmetry_Int_Tables_number 1
_cell_length_a 5.152
_cell_length_b 5.152
_cell_length_c 5.570
_cell_angle_alpha 90.00
_cell_angle_beta 90.00
_cell_angle_gamma 90.00
loop_
_symmetry_equiv_pos_as_xyz
'x,y,z'
loop_
_atom_site_label
_atom_site_type_symbol
_atom_site_fract_x
_atom_site_fract_y
_atom_site_fract_z
Rb1 Rb 0.000 0.000 0.000
Hf1 Hf 0.000 0.500 0.500
Hf2 Hf 0.500 0.000 0.500
Ti1 Ti 0.500 0.500 0.500
Bi1 Bi 0.500 0.500 0.000
# **ΔE_f**: 3.90 eV/f.u.
# **E**: -5.75 eV/atom
# **Space group**: P4/mmm, No. 123
# **Calculated volume**: 29.57 Å³ per atom

(10)
# GGA-PBE Hf6ReBi3, relaxed
data_Hf6ReBi3
_symmetry_space_group_name_H-M 'P 1'
_symmetry_Int_Tables_number 1
_cell_length_a 6.927
_cell_length_b 7.624
_cell_length_c 11.283
_cell_angle_alpha 90.00
_cell_angle_beta 124.78
_cell_angle_gamma 90.00
loop_
_symmetry_equiv_pos_as_xyz
'x,y,z'
loop_
_atom_site_label
_atom_site_type_symbol
_atom_site_fract_x
_atom_site_fract_y
_atom_site_fract_z
Hf1 Hf 0.009 0.075 0.241
Hf2 Hf 0.009 0.425 0.741
Hf3 Hf 0.166 0.687 0.044
Hf4 Hf 0.166 0.813 0.544
Hf5 Hf 0.371 0.147 0.037
Hf6 Hf 0.371 0.353 0.537
Hf7 Hf 0.629 0.647 0.463
Hf8 Hf 0.629 0.853 0.963
Hf9 Hf 0.834 0.187 0.456
Hf10 Hf 0.834 0.313 0.956
Hf11 Hf 0.991 0.575 0.259
Hf12 Hf 0.991 0.925 0.759
Re1 Re 0.000 0.000 0.000
Re2 Re 0.000 0.500 0.500
Bi1 Bi 0.340 0.136 0.747
Bi2 Bi 0.340 0.364 0.247
Bi3 Bi 0.500 0.000 0.500
Bi4 Bi 0.500 0.500 0.000
Bi5 Bi 0.660 0.636 0.753
Bi6 Bi 0.660 0.864 0.253
# **ΔE_f**: 1.22 eV/f.u.
# **E**: -8.26 eV/atom
# **Space group**: P2_1/c, No. 14
# **Calculated volume**: 24.47 Å³ per atom

(11)
# GGA-PBE Hf3ReBi, relaxed
data_Hf3ReBi
_symmetry_space_group_name_H-M 'P 1'
_symmetry_Int_Tables_number 1
_cell_length_a 5.212
_cell_length_b 5.212
_cell_length_c 5.212
_cell_angle_alpha 90.00
_cell_angle_beta 90.00
_cell_angle_gamma 90.00
loop_
_symmetry_equiv_pos_as_xyz
'x,y,z'
loop_
_atom_site_label
_atom_site_type_symbol
_atom_site_fract_x
_atom_site_fract_y
_atom_site_fract_z
Hf1 Hf 0.000 0.000 0.500
Hf2 Hf 0.000 0.500 0.000
Hf3 Hf 0.500 0.000 0.000
Re1 Re 0.500 0.500 0.500
Bi1 Bi 0.000 0.000 0.000
# **ΔE_f**: 10.09 eV/f.u.
# **E**: -7.22 eV/atom
# **Space group**: Pm-3m, No. 221
# **Calculated volume**: 28.31 Å³ per atom
# **Excess energy over the best structure of this formula in the dataset**: 1.590 eV/atom

(12)
# GGA-PBE HfReBi2, relaxed
data_HfReBi2
_symmetry_space_group_name_H-M 'P 1'
_symmetry_Int_Tables_number 1
_cell_length_a 4.980
_cell_length_b 4.980
_cell_length_c 4.980
_cell_angle_alpha 60.00
_cell_angle_beta 60.00
_cell_angle_gamma 60.00
loop_
_symmetry_equiv_pos_as_xyz
'x,y,z'
loop_
_atom_site_label
_atom_site_type_symbol
_atom_site_fract_x
_atom_site_fract_y
_atom_site_fract_z
Hf1 Hf 0.000 0.000 0.000
Re1 Re 0.500 0.500 0.500
Bi1 Bi 0.250 0.250 0.250
Bi2 Bi 0.750 0.750 0.750
# **ΔE_f**: 2.46 eV/f.u.
# **E**: -6.93 eV/atom
# **Space group**: Fm-3m, No. 225
# **Calculated volume**: 21.83 Å³ per atom
# **Excess energy over the best structure of this formula in the dataset**: 0.000 eV/atom